The following is a SCAN calculation of CaSc3Ge at its PBEsol-relaxed geometry, from Alexandria via LeMat-Bulk.

Structure (POSCAR):
```
CaSc3Ge
1.0
4.924 0.000 0.000
0.000 4.924 0.000
0.000 0.000 4.924
Sc Ge Ca
3 1 1
direct
0.500 0.000 0.000
0.000 0.000 0.500
0.000 0.500 0.000
0.500 0.500 0.500
0.000 0.000 0.000
```

Computed properties:
calculated volume = 119.36 Å³/f.u.
crystal system = cubic
electronic total energy = -13.0351 eV per atom
space group = Pm-3m (221)

The following is a SCAN calculation of Y2TlCr at its PBEsol-relaxed geometry, from Alexandria via LeMat-Bulk.

Structure (POSCAR):
```
Y2TlCr
1.0
4.428 0.000 0.000
0.000 4.428 0.000
-2.214 -2.214 4.829
Tl Cr Y
1 1 2
direct
0.250 0.750 0.500
0.500 0.500 0.000
0.750 0.250 0.500
0.000 0.000 0.000
```

Computed properties:
calculated volume = 94.71 Å³/f.u.
energy above the lowest structure with this stoichiometry = 0.549 eV per formula unit
crystal system = tetragonal
electronic total energy = -36.7485 eV per atom
space group = I-4m2 (119)

The following is a SCAN calculation of Cs2CaHfH at its PBEsol-relaxed geometry, from Alexandria via LeMat-Bulk.

Structure (POSCAR):
```
Cs2CaHfH
1.0
-2.729 -1.011 2.507
-2.062 -5.509 -4.466
4.771 -4.518 3.372
H Cs Hf Ca
1 2 1 1
direct
0.500 0.000 0.000
0.000 0.500 0.000
0.000 0.000 0.500
0.500 0.500 0.500
0.000 0.000 0.000
```

Computed properties:
calculated volume = 209.49 Å³/f.u.
crystal system = tetragonal
electronic total energy = -29.2201 eV per atom
space group = P4/mmm (123)

The following is a SCAN calculation of AlCr at its PBEsol-relaxed geometry, from Alexandria via LeMat-Bulk.

Structure (POSCAR):
```
AlCr
1.0
2.961 0.000 0.000
0.000 2.961 0.000
0.000 0.000 5.822
Cr Al
2 2
direct
0.500 0.000 0.603
0.000 0.500 0.397
0.000 0.500 0.853
0.500 0.000 0.147
```

Computed properties:
calculated volume = 25.53 Å³/f.u.
crystal system = tetragonal
electronic total energy = -13.2218 eV per atom
space group = P4/nmm (129)

The following is a SCAN calculation of HfNi3Pb at its PBEsol-relaxed geometry, from Alexandria via LeMat-Bulk.

Structure (POSCAR):
```
HfNi3Pb
1.0
4.594 0.000 0.000
0.000 4.594 0.000
0.000 0.000 4.594
Hf Ni Pb
1 3 1
direct
0.000 0.000 0.000
0.500 0.000 0.000
0.000 0.500 0.000
0.000 0.000 0.500
0.500 0.500 0.500
```

Computed properties:
calculated volume = 96.98 Å³/f.u.
crystal system = cubic
electronic total energy = -36.3818 eV per atom
space group = Pm-3m (221)

The following is a SCAN calculation of CoOs2Cl at its PBEsol-relaxed geometry, from Alexandria via LeMat-Bulk.

Structure (POSCAR):
```
CoOs2Cl
1.0
2.923 0.000 0.000
0.000 2.923 0.000
0.000 0.000 6.479
Co Os Cl
1 2 1
direct
0.500 0.500 0.500
0.000 0.000 0.299
0.000 0.000 0.701
0.500 0.500 0.000
```

Computed properties:
calculated volume = 55.36 Å³/f.u.
crystal system = tetragonal
energy relative to the elements, uncorrected = 0.946 eV per atom
electronic total energy = -41.3144 eV per atom
space group = P4/mmm (123)

The following is a SCAN calculation of MgZn2Ag2 at its PBEsol-relaxed geometry, from Alexandria via LeMat-Bulk.

Structure (POSCAR):
```
MgZn2Ag2
1.0
-2.610 -2.228 1.057
2.351 -2.712 0.090
1.520 3.889 5.853
Mg Zn Ag
1 2 2
direct
0.000 0.000 0.000
0.250 0.750 0.500
0.750 0.250 0.500
0.398 0.398 0.796
0.602 0.602 0.204
```

Computed properties:
calculated volume = 86.70 Å³/f.u.
energy above the lowest structure with this stoichiometry = 0.125 eV per formula unit
crystal system = tetragonal
electronic total energy = -18.9851 eV per atom
space group = I4/mmm (139)

The following is a SCAN calculation of IrOs3 at its PBEsol-relaxed geometry, from Alexandria via LeMat-Bulk.

Structure (POSCAR):
```
IrOs3
1.0
-1.013 -1.918 1.600
2.172 -1.529 -0.457
3.517 3.187 6.047
Os Ir
3 1
direct
0.500 0.500 0.748
0.500 0.500 0.252
0.000 0.000 0.500
0.000 0.000 0.000
```

Computed properties:
calculated volume = 55.86 Å³/f.u.
crystal system = tetragonal
electronic total energy = -71.5985 eV per atom
space group = P4/mmm (123)

The following is a SCAN calculation of Li2SiSb at its PBEsol-relaxed geometry, from Alexandria via LeMat-Bulk.

Structure (POSCAR):
```
Li2SiSb
1.0
-2.532 1.654 -0.648
-1.885 -0.889 -2.285
-6.097 -4.589 4.722
Li Si Sb
2 1 1
direct
0.745 0.745 0.764
0.255 0.255 0.236
0.000 0.000 0.000
0.500 0.500 0.500
```

Computed properties:
calculated volume = 72.86 Å³/f.u.
energy above the lowest structure with this stoichiometry = 0.524 eV per formula unit
crystal system = trigonal
energy relative to the elements, uncorrected = -0.054 eV per atom
electronic total energy = -13.0685 eV per atom
space group = R-3m (166)

The following is a SCAN calculation of KTe2O6 at its PBEsol-relaxed geometry, from Alexandria via LeMat-Bulk.

Structure (POSCAR):
```
KTe2O6
1.0
-1.961 -2.597 6.458
3.883 -5.289 3.038
7.266 5.550 8.048
O Te K
24 8 4
direct
0.448 0.012 0.160
0.087 0.681 0.543
0.681 0.087 0.543
0.913 0.319 0.457
0.010 0.010 0.347
0.259 0.259 0.558
0.552 0.988 0.840
0.854 0.475 0.656
0.475 0.854 0.656
0.988 0.552 0.840
0.780 0.396 0.043
0.990 0.990 0.653
0.798 0.798 0.018
0.585 0.585 0.839
0.525 0.146 0.344
0.604 0.220 0.957
0.146 0.525 0.344
0.415 0.415 0.161
0.396 0.780 0.043
0.319 0.913 0.457
0.202 0.202 0.982
0.220 0.604 0.957
0.012 0.448 0.160
0.741 0.741 0.442
0.258 0.258 0.263
0.000 0.500 0.000
0.500 0.000 0.500
0.742 0.742 0.737
0.000 0.000 0.500
0.000 0.500 0.500
0.500 0.000 0.000
0.500 0.500 0.000
0.908 0.908 0.197
0.552 0.552 0.313
0.448 0.448 0.687
0.092 0.092 0.803
```

Computed properties:
calculated volume = 131.94 Å³/f.u.
crystal system = monoclinic
energy relative to the elements, uncorrected = -1.288 eV per atom
electronic total energy = -14.6457 eV per atom
space group = C2/m (12)

The following is a SCAN calculation of Ni2RhAu at its PBEsol-relaxed geometry, from Alexandria via LeMat-Bulk.

Structure (POSCAR):
```
Ni2RhAu
1.0
-0.965 -1.052 -2.276
2.116 -1.649 -0.135
-3.590 -4.916 3.794
Au Ni Rh
1 2 1
direct
0.500 0.500 0.500
0.000 0.000 0.235
0.000 0.000 0.765
0.500 0.500 0.000
```

Computed properties:
calculated volume = 51.76 Å³/f.u.
crystal system = tetragonal
electronic total energy = -33.7603 eV per atom
space group = P4/mmm (123)

The following is a SCAN calculation of YPRu at its PBEsol-relaxed geometry, from Alexandria via LeMat-Bulk.

Structure (POSCAR):
```
YPRu
1.0
-0.970 -3.706 -1.952
3.079 -2.906 -0.747
0.067 -3.681 2.220
Y P Ru
1 1 1
direct
0.000 0.000 0.000
0.500 0.500 0.500
0.250 0.250 0.250
```

Computed properties:
calculated volume = 56.18 Å³/f.u.
crystal system = cubic
electronic total energy = -24.8080 eV per atom
space group = F-43m (216)

The following is a SCAN calculation of InGeAs2Se at its PBEsol-relaxed geometry, from Alexandria via LeMat-Bulk.

Structure (POSCAR):
```
InGeAs2Se
1.0
-4.169 -2.530 1.501
2.941 -3.523 2.230
-0.070 2.716 4.385
As In Se Ge
2 1 1 1
direct
0.000 0.500 0.000
0.500 0.000 0.000
0.000 0.000 0.000
0.000 0.000 0.500
0.500 0.500 0.500
```

Computed properties:
calculated volume = 134.31 Å³/f.u.
crystal system = tetragonal
energy relative to the elements, uncorrected = 0.922 eV per atom
electronic total energy = -21.6650 eV per atom
space group = P4/mmm (123)

The following is a SCAN calculation of Ta3Cd at its PBEsol-relaxed geometry, from Alexandria via LeMat-Bulk.

Structure (POSCAR):
```
Ta3Cd
1.0
-1.387 -2.176 0.981
5.157 -1.479 1.423
-2.401 4.033 2.962
Ta Cd
3 1
direct
0.500 0.000 0.500
0.500 0.500 0.000
0.000 0.500 0.500
0.000 0.000 0.000
```

Computed properties:
calculated volume = 71.63 Å³/f.u.
crystal system = trigonal
electronic total energy = -57.3581 eV per atom
space group = R-3m (166)

The following is a SCAN calculation of ZnPbW at its PBEsol-relaxed geometry, from Alexandria via LeMat-Bulk.

Structure (POSCAR):
```
ZnPbW
1.0
-0.512 -2.878 0.776
1.520 1.824 1.873
-6.140 1.930 3.104
Zn Pb W
1 1 1
direct
0.667 0.333 0.361
0.000 0.000 0.995
0.333 0.667 0.644
```

Computed properties:
calculated volume = 56.60 Å³/f.u.
energy above the lowest structure with this stoichiometry = 0.000 eV per formula unit
crystal system = trigonal
electronic total energy = -52.1996 eV per atom
space group = P3m1 (156)

The following is a SCAN calculation of YTlCd2 at its PBEsol-relaxed geometry, from Alexandria via LeMat-Bulk.

Structure (POSCAR):
```
YTlCd2
1.0
3.828 0.000 0.000
0.000 3.828 0.000
0.000 0.000 6.642
Cd Tl Y
2 1 1
direct
0.000 0.000 0.248
0.000 0.000 0.752
0.500 0.500 0.000
0.500 0.500 0.500
```

Computed properties:
calculated volume = 97.32 Å³/f.u.
energy above the lowest structure with this stoichiometry = 0.625 eV per formula unit
crystal system = tetragonal
electronic total energy = -40.4855 eV per atom
space group = P4/mmm (123)

The following is a SCAN calculation of Ho5Si2Sb2 at its PBEsol-relaxed geometry, from Alexandria via LeMat-Bulk.

Structure (POSCAR):
```
Ho5Si2Sb2
1.0
7.683 0.000 0.000
-3.841 7.419 0.000
0.000 0.000 7.706
Si Sb Ho
4 4 10
direct
0.625 0.000 0.875
0.125 0.000 0.625
0.375 0.000 0.125
0.875 0.000 0.375
0.793 0.586 0.000
0.293 0.586 0.500
0.207 0.414 0.000
0.707 0.414 0.500
0.957 0.254 0.670
0.457 0.254 0.830
0.043 0.746 0.330
0.203 0.746 0.830
0.703 0.746 0.670
0.797 0.254 0.170
0.500 0.000 0.500
0.297 0.254 0.330
0.543 0.746 0.170
0.000 0.000 0.000
```

Computed properties:
calculated volume = 219.60 Å³/f.u.
crystal system = orthorhombic
energy relative to the elements, uncorrected = -0.977 eV per atom
electronic total energy = -38.6979 eV per atom
space group = Cmce (64)

The following is a SCAN calculation of LaTa3P at its PBEsol-relaxed geometry, from Alexandria via LeMat-Bulk.

Structure (POSCAR):
```
LaTa3P
1.0
4.848 0.000 0.000
0.000 4.848 0.000
0.000 0.000 4.848
P Ta La
1 3 1
direct
0.500 0.500 0.500
0.000 0.000 0.500
0.000 0.500 0.000
0.500 0.000 0.000
0.000 0.000 0.000
```

Computed properties:
calculated volume = 113.95 Å³/f.u.
crystal system = cubic
electronic total energy = -48.0236 eV per atom
space group = Pm-3m (221)

The following is a SCAN calculation of K2NaGdCl6 at its PBEsol-relaxed geometry, from Alexandria via LeMat-Bulk.

Structure (POSCAR):
```
K2NaGdCl6
1.0
-2.361 3.030 -6.414
-7.323 0.614 -1.371
-3.256 6.730 0.020
Cl K Gd Na
6 2 1 1
direct
0.752 0.248 0.752
0.248 0.752 0.248
0.248 0.248 0.752
0.248 0.752 0.752
0.752 0.752 0.248
0.752 0.248 0.248
0.750 0.750 0.750
0.250 0.250 0.250
0.000 0.000 0.000
0.500 0.500 0.500
```

Computed properties:
calculated volume = 295.46 Å³/f.u.
crystal system = cubic
energy relative to the elements, uncorrected = -2.269 eV per atom
electronic total energy = -15.0247 eV per atom
space group = Fm-3m (225)

The following is a SCAN calculation of Re2TcAg at its PBEsol-relaxed geometry, from Alexandria via LeMat-Bulk.

Structure (POSCAR):
```
Re2TcAg
1.0
3.137 0.000 0.000
0.000 3.137 0.000
0.000 0.000 6.199
Re Tc Ag
2 1 1
direct
0.000 0.000 0.023
0.500 0.500 0.265
0.000 0.000 0.467
0.500 0.500 0.745
```

Computed properties:
calculated volume = 60.99 Å³/f.u.
energy above the lowest structure with this stoichiometry = 0.551 eV per formula unit
crystal system = tetragonal
electronic total energy = -51.5957 eV per atom
space group = P4mm (99)